No. 1
VASP calculation (PBE-GGA) on a relaxed HfPt3N crystal.

a = 4.257 Å, b = 4.257 Å, c = 4.257 Å
α = 90.00°, β = 90.00°, γ = 90.00°
Atoms (fractional coordinates):
Hf (0.500, 0.500, 0.500)
Pt (0.000, 0.500, 0.000)
Pt (0.000, 0.000, 0.500)
Pt (0.500, 0.000, 0.000)
N (0.000, 0.000, 0.000)

* DOS(E_F): 0.751 states/eV per atom
* final energy: -7.201 eV per atom
* mass density: 16.739 g/cm³
* distance to the lowest polymorph of the same formula: 0 kJ/mol of formula units



No. 2
VASP calculation (PBE-GGA) on a relaxed Hf2PtN crystal.

a = 3.217 Å, b = 3.217 Å, c = 6.756 Å
α = 103.81°, β = 103.81°, γ = 89.99°
Atoms (fractional coordinates):
Hf (0.866, 0.526, 0.518)
Hf (0.576, 0.236, 0.938)
Pt (0.222, 0.881, 0.228)
N (0.471, 0.631, 0.728)

* DOS(E_F): 0.821 states/eV per atom
* final energy: -9.790 eV per atom
* mass density: 14.283 g/cm³



No. 3
VASP calculation (PBE-GGA) on a relaxed Hf3PtN crystal.

a = 4.844 Å, b = 11.392 Å, c = 6.600 Å
α = 90.00°, β = 90.00°, γ = 90.00°
Atoms (fractional coordinates):
Hf (0.000, 0.886, 0.877)
Hf (0.500, 0.386, 0.377)
Hf (0.500, 0.114, 0.377)
Hf (0.000, 0.386, 0.123)
Hf (0.000, 0.114, 0.123)
Hf (0.500, 0.614, 0.623)
Hf (0.500, 0.886, 0.623)
Hf (0.000, 0.614, 0.877)
Hf (0.500, 0.250, 0.911)
Hf (0.000, 0.750, 0.411)
Hf (0.500, 0.750, 0.089)
Hf (0.000, 0.250, 0.589)
Pt (0.000, 0.000, 0.500)
Pt (0.500, 0.500, 0.000)
Pt (0.500, 0.000, 0.000)
Pt (0.000, 0.500, 0.500)
N (0.500, 0.250, 0.594)
N (0.000, 0.750, 0.094)
N (0.500, 0.750, 0.406)
N (0.000, 0.250, 0.906)

* DOS(E_F): 0.380 states/eV per atom
* final energy: -9.767 eV per atom
* mass density: 13.577 g/cm³



No. 4
VASP calculation (PBE-GGA) on a relaxed Hf3PtN crystal.

a = 7.211 Å, b = 7.211 Å, c = 7.211 Å
α = 46.72°, β = 46.72°, γ = 46.72°
Atoms (fractional coordinates):
Hf (0.444, 0.091, 0.773)
Hf (0.091, 0.773, 0.444)
Hf (0.227, 0.556, 0.909)
Hf (0.909, 0.227, 0.556)
Hf (0.556, 0.909, 0.227)
Hf (0.773, 0.444, 0.091)
Pt (0.338, 0.338, 0.338)
Pt (0.662, 0.662, 0.662)
N (0.161, 0.161, 0.161)
N (0.839, 0.839, 0.839)

* DOS(E_F): 0.727 states/eV per atom
* final energy: -9.754 eV per atom
* mass density: 13.623 g/cm³



No. 5
VASP calculation (PBE-GGA) on a relaxed Hf3PtN crystal.

a = 4.332 Å, b = 4.503 Å, c = 8.501 Å
α = 90.00°, β = 90.01°, γ = 90.00°
Atoms (fractional coordinates):
Hf (0.334, 0.293, 0.642)
Hf (0.334, 0.793, 0.910)
Hf (0.834, 0.793, 0.654)
Hf (0.333, 0.293, 0.117)
Hf (0.834, 0.293, 0.373)
Hf (0.334, 0.793, 0.385)
Pt (0.833, 0.293, 0.893)
Pt (0.834, 0.793, 0.134)
N (0.334, 0.293, 0.373)
N (0.334, 0.793, 0.654)

* DOS(E_F): 0.714 states/eV per atom
* final energy: -9.953 eV per atom
* mass density: 14.913 g/cm³



No. 6
VASP calculation (PBE-GGA) on a relaxed Hf3PtN crystal.

a = 10.120 Å, b = 5.437 Å, c = 3.246 Å
α = 90.01°, β = 80.79°, γ = 74.20°
Atoms (fractional coordinates):
Hf (0.514, 0.440, 0.548)
Hf (0.238, 0.681, 0.186)
Hf (0.252, 0.174, 0.679)
Hf (0.709, 0.883, 0.450)
Hf (0.970, 0.149, 0.319)
Hf (0.984, 0.642, 0.813)
Pt (0.742, 0.439, 0.934)
Pt (0.481, 0.884, 0.064)
N (0.109, 0.919, 0.750)
N (0.114, 0.405, 0.248)

* DOS(E_F): 0.469 states/eV per atom
* final energy: -9.947 eV per atom
* mass density: 14.589 g/cm³



No. 7
VASP calculation (PBE-GGA) on a relaxed Hf3PtN crystal.

a = 22.669 Å, b = 5.631 Å, c = 8.855 Å
α = 90.00°, β = 162.62°, γ = 90.00°
Atoms (fractional coordinates):
Hf (0.291, 0.914, 0.933)
Hf (0.709, 0.086, 0.067)
Hf (0.209, 0.414, 0.567)
Hf (0.791, 0.586, 0.433)
Hf (0.349, 0.423, 0.243)
Hf (0.651, 0.577, 0.757)
Hf (0.151, 0.923, 0.257)
Hf (0.849, 0.077, 0.743)
Hf (0.406, 0.876, 0.586)
Hf (0.594, 0.124, 0.414)
Hf (0.094, 0.376, 0.914)
Hf (0.906, 0.624, 0.086)
Pt (0.008, 0.168, 0.409)
Pt (0.992, 0.832, 0.591)
Pt (0.492, 0.668, 0.091)
Pt (0.508, 0.332, 0.909)
N (0.525, 0.757, 0.651)
N (0.475, 0.243, 0.349)
N (0.975, 0.257, 0.849)
N (0.025, 0.743, 0.151)

* DOS(E_F): 0.547 states/eV per atom
* final energy: -9.982 eV per atom
* mass density: 14.649 g/cm³



No. 8
VASP calculation (PBE-GGA) on a relaxed Hf8Pt2N3 crystal.

a = 5.788 Å, b = 6.512 Å, c = 7.234 Å
α = 116.75°, β = 104.85°, γ = 90.00°
Atoms (fractional coordinates):
Hf (0.934, 0.602, 0.205)
Hf (0.066, 0.398, 0.795)
Hf (0.892, 0.100, 0.200)
Hf (0.108, 0.900, 0.800)
Hf (0.604, 0.653, 0.799)
Hf (0.604, 0.146, 0.799)
Hf (0.396, 0.854, 0.201)
Hf (0.396, 0.347, 0.201)
Pt (0.314, 0.256, 0.512)
Pt (0.686, 0.744, 0.488)
N (0.500, 0.000, 0.000)
N (0.000, 0.234, 0.000)
N (0.000, 0.766, 0.000)

* DOS(E_F): 0.603 states/eV per atom
* final energy: -9.938 eV per atom
* mass density: 13.243 g/cm³



No. 9
VASP calculation (PBE-GGA) on a relaxed Hf8Pt2N crystal.

a = 5.011 Å, b = 5.895 Å, c = 7.885 Å
α = 105.91°, β = 108.53°, γ = 90.00°
Atoms (fractional coordinates):
Hf (0.418, 0.603, 0.836)
Hf (0.632, 0.940, 0.265)
Hf (0.797, 0.718, 0.593)
Hf (0.983, 0.238, 0.966)
Hf (0.203, 0.282, 0.407)
Hf (0.368, 0.060, 0.735)
Hf (0.582, 0.397, 0.164)
Hf (0.017, 0.762, 0.034)
Pt (0.806, 0.277, 0.611)
Pt (0.194, 0.723, 0.389)
N (0.500, 0.000, 0.000)

* DOS(E_F): 0.938 states/eV per atom
* final energy: -9.594 eV per atom
* mass density: 14.391 g/cm³



No. 10
VASP calculation (PBE-GGA) on a relaxed Hf5Pt2N2 crystal.

a = 6.312 Å, b = 6.088 Å, c = 9.460 Å
α = 108.77°, β = 109.49°, γ = 90.00°
Atoms (fractional coordinates):
Hf (0.240, 0.728, 0.972)
Hf (0.760, 0.755, 0.028)
Hf (0.232, 0.228, 0.972)
Hf (0.768, 0.255, 0.028)
Hf (0.199, 0.109, 0.278)
Hf (0.801, 0.831, 0.722)
Hf (0.579, 0.609, 0.278)
Hf (0.421, 0.331, 0.722)
Hf (0.127, 0.636, 0.500)
Hf (0.873, 0.136, 0.500)
Pt (0.127, 0.607, 0.217)
Pt (0.873, 0.390, 0.783)
Pt (0.590, 0.107, 0.217)
Pt (0.410, 0.890, 0.783)
N (0.000, 0.990, 0.000)
N (0.500, 0.490, 0.000)
N (0.177, 0.290, 0.500)
N (0.823, 0.790, 0.500)

* DOS(E_F): 0.360 states/eV per atom
* final energy: -9.928 eV per atom
* mass density: 13.513 g/cm³



No. 11
VASP calculation (PBE-GGA) on a relaxed Hf6PtN2 crystal.

a = 6.010 Å, b = 7.980 Å, c = 7.980 Å
α = 79.69°, β = 72.85°, γ = 72.85°
Atoms (fractional coordinates):
Hf (0.466, 0.731, 0.530)
Hf (0.034, 0.470, 0.269)
Hf (0.534, 0.269, 0.470)
Hf (0.966, 0.530, 0.731)
Hf (0.979, 0.858, 0.396)
Hf (0.521, 0.604, 0.142)
Hf (0.021, 0.142, 0.604)
Hf (0.479, 0.396, 0.858)
Hf (0.160, 0.813, 0.921)
Hf (0.340, 0.079, 0.187)
Hf (0.840, 0.187, 0.079)
Hf (0.660, 0.921, 0.813)
Pt (0.250, 0.170, 0.830)
Pt (0.750, 0.830, 0.170)
N (0.251, 0.614, 0.754)
N (0.249, 0.246, 0.386)
N (0.749, 0.386, 0.246)
N (0.751, 0.754, 0.614)

* DOS(E_F): 0.612 states/eV per atom
* final energy: -9.900 eV per atom
* mass density: 12.360 g/cm³



No. 12
VASP calculation (PBE-GGA) on a relaxed Hf3PtN crystal.

a = 3.015 Å, b = 7.217 Å, c = 7.217 Å
α = 125.37°, β = 90.00°, γ = 90.00°
Atoms (fractional coordinates):
Hf (0.500, 0.655, 0.797)
Hf (0.500, 0.203, 0.345)
Hf (0.000, 0.252, 0.748)
Pt (0.500, 0.076, 0.924)
N (0.000, 0.443, 0.557)

* DOS(E_F): 0.562 states/eV per atom
* final energy: -9.152 eV per atom
* mass density: 9.655 g/cm³